<P>
# Rb2VP2O8, optimized geometry, DFT PBEsol
# total magnetization	1.00	μB per formula unit
data_Rb2VP2O8
_chemical_formula_sum 'Rb8 V4 P8 O32'
_symmetry_space_group_name_H-M 'P 21 21 21'
_symmetry_Int_Tables_number 19
_symmetry_space_group_name_Hall 'P 2ac 2ab'
_cell_length_a 7.061
_cell_length_b 9.080
_cell_length_c 12.959
_cell_angle_alpha 90.00
_cell_angle_beta 90.00
_cell_angle_gamma 90.00
loop_
_atom_site_label
_atom_site_fract_x
_atom_site_fract_y
_atom_site_fract_z
Rb1 0.226 0.170 0.410
Rb2 0.228 0.609 0.591
V1 0.247 0.241 0.808
P1 0.004 0.028 0.652
P2 0.088 0.012 0.163
O1 0.011 0.661 0.320
O2 0.029 0.922 0.072
O3 0.054 0.171 0.713
O4 0.058 0.562 0.956
O5 0.093 0.927 0.267
O6 0.136 0.438 0.782
O7 0.174 0.197 0.921
O8 0.194 0.928 0.648

***

<Q>
# Rb2VP2O8, optimized geometry, DFT PBEsol
# total magnetization	1.00	μB per formula unit
data_Rb2VP2O8
_chemical_formula_sum 'Rb8 V4 P8 O32'
_symmetry_space_group_name_H-M 'P n m a'
_symmetry_Int_Tables_number 62
_symmetry_space_group_name_Hall '-P 2ac 2n'
_cell_length_a 12.397
_cell_length_b 7.209
_cell_length_c 9.569
_cell_angle_alpha 90.00
_cell_angle_beta 90.00
_cell_angle_gamma 90.00
loop_
_atom_site_label
_atom_site_fract_x
_atom_site_fract_y
_atom_site_fract_z
Rb1 0.099 0.250 0.139
Rb2 0.104 0.750 0.421
V1 0.210 0.750 0.974
P1 0.154 0.046 0.723
O1 0.039 0.515 0.704
O2 0.087 0.750 0.027
O3 0.159 0.250 0.795
O4 0.215 0.061 0.582
O5 0.224 0.568 0.823

***

The least stable of the structures above is <Q>, whereas <P> is the most stable.